Computed, not measured: a relaxed KCr2TeO8 crystal at the GGA+U level of DFT.

The space group is P-3 (No. 147) and the conventional cell measures 5.4111, 5.4111 and 7.9656 Å, with angles of 90.00, 90.00 and 120.00 degrees. The distinct sites, in fractional coordinates, are K at (0.0000, 0.0000, 0.0000), Cr at (0.3333, 0.6667, 0.7352), Te at (0.0000, 0.0000, 0.5000), O at (0.0664, 0.3391, 0.6641) and O at (0.3333, 0.6667, 0.9392).

As for the energy: -6.1371 eV per atom.